A crystal of BaBe2Ni relaxed with PBEsol, computed with SCAN.

Results
The value obtained for the calculated volume is 67 Å³/cell. The value obtained for the energy of formation is 1.207 eV/atom. For the spin magnetization, the calculation gives 0.00 μB/cell.

Lattice parameters (Å, degrees): 2.9232 4.7812 4.7812 90.00 90.00 90.00
Last column: nearest neighbours and their distance in Å.
Element x y z (fractional)
Ba  0.5000  0.0000  0.0000  8 Be 2.80, 2 Ba 2.92
Be  0.0000  0.5000  0.0000  4 Ni 2.80, 4 Ba 2.80, 2 Be 2.92
Be  0.0000  0.0000  0.5000  4 Ni 2.80, 4 Ba 2.80, 2 Be 2.92
Ni  0.5000  0.5000  0.5000  8 Be 2.80, 2 Ni 2.92

A crystal of BaBeO2 relaxed with PBEsol, computed with SCAN.

Results
The value obtained for the calculated volume is 55 Å³/cell. The uncorrected formation energy comes out at -1006 meV per atom. For the spin magnetization, the calculation gives 0.55 μB/cell.

Lattice parameters (Å, degrees): 3.1387 3.1387 6.6724 76.40 76.40 60.00
Last column: nearest neighbours and their distance in Å.
Element x y z (fractional)
O  0.1219  0.1219  0.6343  3 Be 2.01
Ba  0.0000  0.0000  0.0000  2 O 2.35
Be  0.5000  0.5000  0.5000  6 O 2.01
O  0.8781  0.8781  0.3657  3 Be 2.01

A crystal of BaBePO2 relaxed with PBEsol, computed with SCAN.

Results
The value obtained for the calculated volume is 116 Å³/cell. The uncorrected formation energy comes out at 637 meV per atom. For the spin magnetization, the calculation gives 0.00 μB/cell.

Lattice parameters (Å, degrees): 4.2497 4.2497 6.4138 90.00 90.00 90.00
Last column: nearest neighbours and their distance in Å.
Element x y z (fractional)
P  0.0000  0.0000  0.5000  4 Be 3.00, 2 Ba 3.21
Be  0.5000  0.5000  0.5000  4 P 3.00
O  0.0000  0.5000  0.0000  2 Ba 2.12
O  0.5000  0.0000  0.0000  2 Ba 2.12
Ba  0.0000  0.0000  0.0000  4 O 2.12

A crystal of BaBe2Os relaxed with PBEsol, computed with SCAN.

Results
The value obtained for the calculated volume is 64 Å³/cell. The value obtained for the energy of formation is 1.190 eV/atom. For the spin magnetization, the calculation gives 0.54 μB/cell.

Lattice parameters (Å, degrees): 2.8934 4.7384 4.7384 100.22 92.58 92.58
Last column: nearest neighbours and their distance in Å.
Element x y z (fractional)
Be  0.0000  0.5000  0.0000  4 Ba 2.72-2.83, 4 Os 2.72-2.83, 4 Be 2.89-3.04
Be  0.0000  0.0000  0.5000  4 Os 2.72-2.83, 4 Ba 2.72-2.83, 4 Be 2.89-3.04
Ba  0.5000  0.0000  0.0000  8 Be 2.72-2.83, 2 Ba 2.89, 2 Os 3.04
Os  0.5000  0.5000  0.5000  8 Be 2.72-2.83, 2 Os 2.89, 2 Ba 3.04

A crystal of BaBe2Os relaxed with PBEsol, computed with SCAN.

Results
The value obtained for the calculated volume is 69 Å³/cell. The value obtained for the energy of formation is 0.969 eV/atom. For the spin magnetization, the calculation gives 0.00 μB/cell.

Lattice parameters (Å, degrees): 2.8713 5.0652 5.5903 116.94 104.88 90.00
Last column: nearest neighbours and their distance in Å.
Element x y z (fractional)
Be  0.2342  0.7342  0.4684  2 Os 2.26
Ba  0.7591  0.2591  0.5182  2 Ba 2.87, 6 Be 2.92-3.15, 2 Os 3.14
Be  0.9554  0.9554  0.9108  2 Be 2.55
Os  0.5513  0.5513  0.1026  2 Be 2.26

A crystal of BaBe4P relaxed with PBEsol, computed with SCAN.

Results
The value obtained for the calculated volume is 91 Å³/cell. The value obtained for the energy of formation is 0.789 eV/atom. For the spin magnetization, the calculation gives 0.00 μB/cell.

Lattice parameters (Å, degrees): 5.0467 5.0467 5.0467 60.00 60.00 60.00
Last column: nearest neighbours and their distance in Å.
Element x y z (fractional)
P  0.7500  0.7500  0.7500  12 Be 2.95, 4 Ba 3.09
Ba  0.0000  0.0000  0.0000  12 Be 2.97, 4 P 3.09
Be  0.3819  0.3819  0.8544  6 Be 2.38-2.66
Be  0.3819  0.3819  0.3819  6 Be 2.38-2.66
Be  0.3819  0.8544  0.3819  6 Be 2.38-2.66
Be  0.8544  0.3819  0.3819  6 Be 2.38-2.66

A crystal of BaBeP relaxed with PBEsol, computed with SCAN.

Results
The value obtained for the calculated volume is 63 Å³/cell. The value obtained for the energy of formation is -0.729 eV/atom. For the spin magnetization, the calculation gives 0.37 μB/cell.

Lattice parameters (Å, degrees): 3.7970 3.7970 5.0296 90.00 90.00 120.00
Last column: nearest neighbours and their distance in Å.
Element x y z (fractional)
Be  0.3333  0.6667  0.5000  3 P 2.19
P  0.6667  0.3333  0.5000  3 Be 2.19
Ba  0.0000  0.0000  0.0000  6 P 3.34, 6 Be 3.34

A crystal of BaBeP4 relaxed with PBEsol, computed with SCAN.

Results
The value obtained for the calculated volume is 118 Å³/cell. The value obtained for the energy of formation is 0.275 eV/atom. For the spin magnetization, the calculation gives 0.00 μB/cell.

Lattice parameters (Å, degrees): 5.4983 5.4983 5.4983 60.00 60.00 60.00
Last column: nearest neighbours and their distance in Å.
Element x y z (fractional)
Be  0.0000  0.0000  0.0000  12 P 3.19, 4 Ba 3.37
P  0.9333  0.3556  0.3556  3 P 2.32
P  0.3556  0.9333  0.3556  3 P 2.32
P  0.3556  0.3556  0.9333  3 P 2.32
Ba  0.7500  0.7500  0.7500  12 P 3.28, 4 Be 3.37
P  0.3556  0.3556  0.3556  3 P 2.32

A crystal of BaBeP3 relaxed with PBEsol, computed with SCAN.

Results
The value obtained for the calculated volume is 164 Å³/cell. The value obtained for the energy of formation is 2.102 eV/atom. For the spin magnetization, the calculation gives 0.00 μB/cell.

Lattice parameters (Å, degrees): 5.4734 5.4734 5.4734 90.00 90.00 90.00
Last column: nearest neighbours and their distance in Å.
Element x y z (fractional)
Be  0.5000  0.5000  0.5000  12 P 3.87
Ba  0.0000  0.0000  0.0000  6 P 2.74
P  0.5000  0.0000  0.0000  2 Ba 2.74
P  0.0000  0.0000  0.5000  2 Ba 2.74
P  0.0000  0.5000  0.0000  2 Ba 2.74

A crystal of BaBeTcPb2 relaxed with PBEsol, computed with SCAN.

Results
The value obtained for the calculated volume is 156 Å³/cell. The value obtained for the energy of formation is 0.656 eV/atom. For the spin magnetization, the calculation gives 0.00 μB/cell.

Lattice parameters (Å, degrees): 5.2591 5.2591 5.6430 90.00 90.00 90.00
Last column: nearest neighbours and their distance in Å.
Element x y z (fractional)
Be  0.5000  0.5000  0.5000  4 Ba 3.72, 8 Pb 3.86
Ba  0.0000  0.0000  0.5000  2 Tc 2.82
Tc  0.0000  0.0000  0.0000  4 Pb 2.63, 2 Ba 2.82
Pb  0.0000  0.5000  0.0000  2 Tc 2.63
Pb  0.5000  0.0000  0.0000  2 Tc 2.63

A crystal of BaBe2TcPd relaxed with PBEsol, computed with SCAN.

Results
The value obtained for the calculated volume is 109 Å³/cell. The value obtained for the energy of formation is 1.056 eV/atom. For the spin magnetization, the calculation gives 3.33 μB/cell.

Lattice parameters (Å, degrees): 4.3743 4.3743 5.6725 90.00 90.00 90.00
Last column: nearest neighbours and their distance in Å.
Element x y z (fractional)
Pd  0.0000  0.0000  0.0000  4 Be 2.19
Tc  0.5000  0.5000  0.5000  4 Ba 3.09
Ba  0.0000  0.0000  0.5000  2 Pd 2.84, 4 Tc 3.09
Be  0.5000  0.0000  0.0000  2 Pd 2.19
Be  0.0000  0.5000  0.0000  2 Pd 2.19

A crystal of BaBe3Pt relaxed with PBEsol, computed with SCAN.

Results
The value obtained for the calculated volume is 89 Å³/cell. The value obtained for the energy of formation is -0.319 eV/atom. For the spin magnetization, the calculation gives 0.00 μB/cell.

Lattice parameters (Å, degrees): 4.4726 4.4726 4.4726 90.00 90.00 90.00
Last column: nearest neighbours and their distance in Å.
Element x y z (fractional)
Be  0.0000  0.0000  0.5000  2 Pt 2.24
Ba  0.5000  0.5000  0.5000  12 Be 3.16
Pt  0.0000  0.0000  0.0000  6 Be 2.24
Be  0.0000  0.5000  0.0000  2 Pt 2.24
Be  0.5000  0.0000  0.0000  2 Pt 2.24

A crystal of BaBePt2 relaxed with PBEsol, computed with SCAN.

Results
The value obtained for the calculated volume is 76 Å³/cell. The value obtained for the energy of formation is -0.265 eV/atom. For the spin magnetization, the calculation gives 0.00 μB/cell.

Lattice parameters (Å, degrees): 2.9560 3.6192 7.0816 90.00 90.00 90.00
Last column: nearest neighbours and their distance in Å.
Element x y z (fractional)
Ba  0.0000  0.0000  0.4888  2 Ba 2.96, 5 Pt 3.15-3.23
Be  0.5000  0.5000  0.8751  5 Pt 2.24-2.39
Pt  0.5000  0.5000  0.1913  1 Be 2.24
Pt  0.0000  0.0000  0.9448  4 Be 2.39

A crystal of BaBePt2 relaxed with PBEsol, computed with SCAN.

Results
The value obtained for the calculated volume is 77 Å³/cell. The value obtained for the energy of formation is 0.325 eV/atom. For the spin magnetization, the calculation gives 0.00 μB/cell.

Lattice parameters (Å, degrees): 4.7833 4.7833 4.7833 60.00 60.00 60.00
Last column: nearest neighbours and their distance in Å.
Element x y z (fractional)
Be  0.7500  0.7500  0.7500  4 Ba 2.93, 4 Pt 2.93
Ba  0.5000  0.5000  0.5000  4 Pt 2.93, 4 Be 2.93
Pt  0.0000  0.0000  0.0000  4 Be 2.93, 4 Pt 2.93
Pt  0.2500  0.2500  0.2500  4 Pt 2.93, 4 Ba 2.93

A crystal of BaBePt2 relaxed with PBEsol, computed with SCAN.

Results
The value obtained for the calculated volume is 77 Å³/cell. The value obtained for the energy of formation is 0.225 eV/atom. For the spin magnetization, the calculation gives 0.00 μB/cell.

Lattice parameters (Å, degrees): 4.1191 4.3125 4.3125 90.00 90.00 90.00
Last column: nearest neighbours and their distance in Å.
Element x y z (fractional)
Pt  0.0000  0.5000  0.0000  4 Ba 2.98, 4 Be 2.98, 4 Pt 3.05
Be  0.5000  0.0000  0.0000  8 Pt 2.98, 4 Ba 3.05
Pt  0.0000  0.0000  0.5000  4 Ba 2.98, 4 Be 2.98, 4 Pt 3.05
Ba  0.5000  0.5000  0.5000  8 Pt 2.98, 4 Be 3.05